Compound: LiBe2Tc
Source: the Alexandria database
Functional: PBE
Structure: relaxed

a = 3.654 Å, b = 3.654 Å, c = 6.297 Å
α = 90.00°, β = 90.00°, γ = 90.00°
Space group I4/mmm (No. 139)
Symmetry-distinct sites (fractional):
1 Li 0.000 0.000 0.000 x2
2 Be 0.000 0.500 0.250 x4
3 Tc 0.000 0.000 0.500 x2

Calculated values
Magnetic moment   0.00 Bohr magnetons per cell
ΔH_f (0 K)   0.119 eV/atom
N(E_F)   3.81 states/eV per cell
Crystal system   tetragonal